Here is Ti3MnNi2P6O24 at its PBEsol-relaxed geometry from Alexandria. Energies are from meta-GGA SCAN.

The space group is R3, No. 146. As for the uncorrected formation energy: -2.546 eV per atom.

POSCAR file:
```
Ti3MnNi2P6O24
1.0
8.396 -0.011 -0.008
4.039 7.361 -0.008
4.039 2.387 6.963
Ti Mn Ni P O
3 1 2 6 24
Cartesian
2.320 1.371 0.978
5.891 3.482 2.484
10.576 6.251 4.460
14.154 8.366 5.969
16.463 9.730 6.942
8.213 4.854 3.463
8.159 8.328 3.776
9.436 4.120 6.647
11.230 4.589 1.733
5.253 5.158 5.233
7.052 5.636 0.297
8.338 1.407 3.175
4.247 4.368 2.299
5.198 1.987 3.382
5.174 4.069 6.348
5.874 2.700 0.779
5.857 6.453 5.696
6.174 4.598 4.108
6.060 6.839 0.366
7.005 4.923 1.682
3.079 0.917 2.646
7.691 2.814 3.011
7.606 8.772 5.134
3.938 1.346 0.006
8.477 6.043 0.056
8.913 1.000 1.782
8.751 6.894 3.868
9.382 1.521 4.248
9.389 4.821 5.261
10.420 2.946 6.624
10.259 5.070 2.848
2.288 3.236 1.271
10.553 7.124 6.121
11.352 5.646 0.631
11.330 7.678 3.503
12.190 5.337 4.745
```